# SrBrCl (PBE-GGA, relaxed)
# Energy relative to the elements, uncorrected, eV per atom: -1.859
# D(E_F), states/eV per atom: 0.000
data_SrBrCl
_chemical_formula_sum 'Sr4 Br4 Cl4'
_symmetry_space_group_name_H-M 'F -4 3 m'
_symmetry_Int_Tables_number 216
_symmetry_space_group_name_Hall 'F -4 2 3'
_cell_length_a 7.247
_cell_length_b 7.247
_cell_length_c 7.247
_cell_angle_alpha 90.00
_cell_angle_beta 90.00
_cell_angle_gamma 90.00
loop_
_atom_site_label
_atom_site_type_symbol
_atom_site_fract_x
_atom_site_fract_y
_atom_site_fract_z
_atom_site_occupancy
Sr1 Sr 0.000 0.000 0.000 1
Br1 Br 0.000 0.000 0.500 1
Cl1 Cl 0.250 0.250 0.750 1